# Gd2GaBi (PBE, relaxed)
# * ΔE to the lowest computed polymorph: 40 meV per atom
# * ΔH_f (0 K): -13.4 kcal/mol of atoms
# * size of the total moment: 42.68 Bohr magnetons per cell
# * V: 28.414 A^3/atom
# * DOS at the Fermi energy: 8.61 states/eV/cell
data_Gd2GaBi
_symmetry_space_group_name_H-M 'R -3 m'
_symmetry_Int_Tables_number 166
_symmetry_space_group_name_Hall '-R 3 2"'
_cell_length_a 4.9215
_cell_length_b 4.9215
_cell_length_c 16.2550
_cell_angle_alpha 90.00
_cell_angle_beta 90.00
_cell_angle_gamma 120.00
loop_
_atom_site_label
_atom_site_type_symbol
_atom_site_fract_x
_atom_site_fract_y
_atom_site_fract_z
Gd1 Gd 0.0000 0.0000 0.2400
Ga1 Ga 0.0000 0.0000 0.5000
Bi1 Bi 0.0000 0.0000 0.0000



# AcPm5Sn3 (PBE, relaxed)
# * ΔH_f (0 K): -12.7 kcal/mol of atoms
# * size of the total moment: 5.07 Bohr magnetons per cell
# * V: 30.779 A^3/atom
# * DOS at the Fermi energy: 19.23 states/eV/cell
data_AcPm5Sn3
_symmetry_space_group_name_H-M 'P 63/m c m'
_symmetry_Int_Tables_number 193
_symmetry_space_group_name_Hall '-P 6c 2'
_cell_length_a 9.6620
_cell_length_b 9.6620
_cell_length_c 6.8527
_cell_angle_alpha 90.00
_cell_angle_beta 90.00
_cell_angle_gamma 120.00
loop_
_atom_site_label
_atom_site_type_symbol
_atom_site_fract_x
_atom_site_fract_y
_atom_site_fract_z
Ac1 Ac 0.0000 0.0000 0.0000
Pm1 Pm 0.0000 0.3349 0.2500
Pm2 Pm 0.3333 0.6667 0.0000
Sn1 Sn 0.0000 0.3377 0.7500



# TlFeP (PBE, relaxed)
# * ΔE to the lowest computed polymorph: 0 meV per atom
# * ΔH_f (0 K): -6.1 kcal/mol of atoms
# * size of the total moment: 0.00 Bohr magnetons per cell
# * V: 20.667 A^3/atom
# * DOS at the Fermi energy: 2.56 states/eV/cell
data_TlFeP
_symmetry_space_group_name_H-M 'P 4/n m m'
_symmetry_Int_Tables_number 129
_cell_length_a 3.792
_cell_length_b 3.792
_cell_length_c 8.623
_cell_angle_alpha 90.00
_cell_angle_beta 90.00
_cell_angle_gamma 90.00
loop_
_symmetry_equiv_pos_as_xyz
'x,y,z'
'-x,-y,-z'
'-y+1/2,x,z'
'y+1/2,-x,-z'
'-x+1/2,-y+1/2,z'
'x+1/2,y+1/2,-z'
'y,-x+1/2,z'
'-y,x+1/2,-z'
'x+1/2,-y,-z'
'-x+1/2,y,z'
'-y,-x,-z'
'y,x,z'
'-x,y+1/2,-z'
'x,-y+1/2,z'
'y+1/2,x+1/2,-z'
'-y+1/2,-x+1/2,z'
loop_
_atom_site_label
_atom_site_type_symbol
_atom_site_fract_x
_atom_site_fract_y
_atom_site_fract_z
Tl1 Tl 0.250 0.250 0.175
Fe1 Fe 0.250 0.750 0.500
P1 P 0.250 0.250 0.628



# Th8AsS6 (PBE, relaxed)
# * formation energy without anion corrections: -19.55 eV/f.u.
# * size of the total moment: 0.00 Bohr magnetons per cell
# * V: 25.467 A^3/atom
# * DOS at the Fermi energy: 13.74 states/eV/cell
data_Th8AsS6
_symmetry_space_group_name_H-M 'P -3'
_symmetry_Int_Tables_number 147
_symmetry_space_group_name_Hall '-P 3'
_cell_length_a 10.2848
_cell_length_b 10.2848
_cell_length_c 4.1700
_cell_angle_alpha 90.00
_cell_angle_beta 90.00
_cell_angle_gamma 120.00
loop_
_atom_site_label
_atom_site_type_symbol
_atom_site_fract_x
_atom_site_fract_y
_atom_site_fract_z
Th1 Th 0.0360 0.7166 0.2582
Th2 Th 0.3333 0.6667 0.7471
As1 As 0.0000 0.0000 0.5000
S1 S 0.1272 0.4877 0.2468



# LiZnCl4 (PBE, relaxed)
# * ΔE to the lowest computed polymorph: 0 meV per atom
# * formation energy without anion corrections: -5.92 eV/f.u.
# * size of the total moment: 0.01 Bohr magnetons per cell
# * V: 22.434 A^3/atom
# * DOS at the Fermi energy: 10.02 states/eV/cell
data_LiZnCl4
_symmetry_space_group_name_H-M 'P 1 21/c 1'
_symmetry_Int_Tables_number 14
_symmetry_space_group_name_Hall '-P 2ybc'
_cell_length_a 6.544
_cell_length_b 3.674
_cell_length_c 11.642
_cell_angle_alpha 90.00
_cell_angle_beta 105.89
_cell_angle_gamma 90.00
loop_
_atom_site_label
_atom_site_type_symbol
_atom_site_fract_x
_atom_site_fract_y
_atom_site_fract_z
Li1 Li 0.000 0.000 0.000
Zn1 Zn 0.500 0.000 0.500
Cl1 Cl 0.246 0.004 0.612
Cl2 Cl 0.276 0.007 0.879



# Sm2ReBr (PBE, relaxed)
# * ΔE to the lowest computed polymorph: 820 meV per atom
# * formation energy without anion corrections: 1.44 eV/f.u.
# * size of the total moment: 1.93 Bohr magnetons per cell
# * V: 24.331 A^3/atom
# * DOS at the Fermi energy: 10.33 states/eV/cell
data_Sm2ReBr
_symmetry_space_group_name_H-M 'R -3 m'
_symmetry_Int_Tables_number 166
_symmetry_space_group_name_Hall '-R 3 2"'
_cell_length_a 3.2801
_cell_length_b 3.2801
_cell_length_c 31.3354
_cell_angle_alpha 90.00
_cell_angle_beta 90.00
_cell_angle_gamma 120.00
loop_
_atom_site_label
_atom_site_type_symbol
_atom_site_fract_x
_atom_site_fract_y
_atom_site_fract_z
Sm1 Sm 0.0000 0.0000 0.0878
Re1 Re 0.0000 0.0000 0.0000
Br1 Br 0.0000 0.0000 0.5000



# Tb3Sm6Y (PBE, relaxed)
# * ΔE to the lowest computed polymorph: 0 meV per atom
# * ΔH_f (0 K): 2.8 kcal/mol of atoms
# * size of the total moment: 0.00 Bohr magnetons per cell
# * V: 33.497 A^3/atom
# * DOS at the Fermi energy: 66.97 states/eV/cell
data_Tb3Sm6Y
_symmetry_space_group_name_H-M 'C m c 21'
_symmetry_Int_Tables_number 36
_symmetry_space_group_name_Hall 'C 2c -2'
_cell_length_a 9.761
_cell_length_b 21.328
_cell_length_c 6.436
_cell_angle_alpha 90.00
_cell_angle_beta 90.00
_cell_angle_gamma 90.00
loop_
_atom_site_label
_atom_site_type_symbol
_atom_site_fract_x
_atom_site_fract_y
_atom_site_fract_z
Tb1 Tb 0.000 0.079 0.000
Tb2 Tb 0.168 0.373 0.398
Sm1 Sm 0.000 0.198 0.706
Sm2 Sm 0.000 0.485 0.722
Sm3 Sm 0.175 0.219 0.234
Sm4 Sm 0.181 0.060 0.479
Y1 Y 0.000 0.341 0.923



# ThZnGa2Pd2 (PBE, relaxed)
# * ΔH_f (0 K): -14.8 kcal/mol of atoms
# * size of the total moment: 0.00 Bohr magnetons per cell
# * V: 18.633 A^3/atom
# * DOS at the Fermi energy: 2.17 states/eV/cell
data_ThZnGa2Pd2
_symmetry_space_group_name_H-M 'P -3 m 1'
_symmetry_Int_Tables_number 164
_symmetry_space_group_name_Hall '-P 3 2"'
_cell_length_a 4.3503
_cell_length_b 4.3503
_cell_length_c 6.8212
_cell_angle_alpha 90.00
_cell_angle_beta 90.00
_cell_angle_gamma 120.00
loop_
_atom_site_label
_atom_site_type_symbol
_atom_site_fract_x
_atom_site_fract_y
_atom_site_fract_z
Th1 Th 0.0000 0.0000 0.0000
Zn1 Zn 0.0000 0.0000 0.5000
Ga1 Ga 0.3333 0.6667 0.7333
Pd1 Pd 0.3333 0.6667 0.3475



# CdOs2Cl (PBE, relaxed)
# * ΔE to the lowest computed polymorph: 806 meV per atom
# * formation energy without anion corrections: 4.19 eV/f.u.
# * size of the total moment: 0.00 Bohr magnetons per cell
# * V: 17.581 A^3/atom
# * DOS at the Fermi energy: 9.00 states/eV/cell
data_CdOs2Cl
_symmetry_space_group_name_H-M 'I m m 2'
_symmetry_Int_Tables_number 44
_symmetry_space_group_name_Hall 'I 2 -2'
_cell_length_a 2.859
_cell_length_b 5.006
_cell_length_c 9.827
_cell_angle_alpha 90.00
_cell_angle_beta 90.00
_cell_angle_gamma 90.00
loop_
_atom_site_label
_atom_site_type_symbol
_atom_site_fract_x
_atom_site_fract_y
_atom_site_fract_z
Cd1 Cd 0.000 0.000 0.000
Os1 Os 0.000 0.000 0.505
Os2 Os 0.000 0.500 0.215
Cl1 Cl 0.000 0.500 0.790



# Pm5Al2Ga (PBE, relaxed)
# * ΔH_f (0 K): -7.4 kcal/mol of atoms
# * size of the total moment: 0.00 Bohr magnetons per cell
# * V: 28.446 A^3/atom
# * DOS at the Fermi energy: 32.53 states/eV/cell
data_Pm5Al2Ga
_symmetry_space_group_name_H-M 'I 4/m c m'
_symmetry_Int_Tables_number 140
_symmetry_space_group_name_Hall '-I 4 2c'
_cell_length_a 7.874
_cell_length_b 7.874
_cell_length_c 14.680
_cell_angle_alpha 90.00
_cell_angle_beta 90.00
_cell_angle_gamma 90.00
loop_
_atom_site_label
_atom_site_type_symbol
_atom_site_fract_x
_atom_site_fract_y
_atom_site_fract_z
Pm1 Pm 0.000 0.000 0.000
Pm2 Pm 0.174 0.326 0.151
Al1 Al 0.117 0.383 0.500
Ga1 Ga 0.000 0.000 0.250



# PrBeGa2Ir2 (PBE, relaxed)
# * ΔH_f (0 K): -13.5 kcal/mol of atoms
# * size of the total moment: 0.00 Bohr magnetons per cell
# * V: 17.242 A^3/atom
# * DOS at the Fermi energy: 2.60 states/eV/cell
data_PrBeGa2Ir2
_symmetry_space_group_name_H-M 'P 4/m m m'
_symmetry_Int_Tables_number 123
_symmetry_space_group_name_Hall '-P 4 2'
_cell_length_a 4.271
_cell_length_b 4.271
_cell_length_c 5.670
_cell_angle_alpha 90.00
_cell_angle_beta 90.00
_cell_angle_gamma 90.00
loop_
_atom_site_label
_atom_site_type_symbol
_atom_site_fract_x
_atom_site_fract_y
_atom_site_fract_z
Pr1 Pr 0.000 0.000 0.000
Be1 Be 0.000 0.000 0.500
Ga1 Ga 0.500 0.500 0.230
Ir1 Ir 0.000 0.500 0.500



# Sm5Os2I2 (PBE, relaxed)
# * formation energy without anion corrections: -4.73 eV/f.u.
# * size of the total moment: 0.00 Bohr magnetons per cell
# * V: 30.176 A^3/atom
# * DOS at the Fermi energy: 26.53 states/eV/cell
data_Sm5Os2I2
_symmetry_space_group_name_H-M 'C m c e'
_symmetry_Int_Tables_number 64
_symmetry_space_group_name_Hall '-C 2ac 2'
_cell_length_a 16.946
_cell_length_b 8.005
_cell_length_c 8.008
_cell_angle_alpha 90.00
_cell_angle_beta 90.00
_cell_angle_gamma 90.00
loop_
_atom_site_label
_atom_site_type_symbol
_atom_site_fract_x
_atom_site_fract_y
_atom_site_fract_z
Sm1 Sm 0.000 0.000 0.000
Sm2 Sm 0.104 0.155 0.346
Os1 Os 0.000 0.141 0.641
I1 I 0.216 0.000 0.000



# CeNiAu (PBE, relaxed)
# * ΔH_f (0 K): -11.8 kcal/mol of atoms
# * size of the total moment: 1.79 Bohr magnetons per cell
# * V: 19.600 A^3/atom
# * DOS at the Fermi energy: 20.50 states/eV/cell
data_CeNiAu
_symmetry_space_group_name_H-M 'P 1 21/c 1'
_symmetry_Int_Tables_number 14
_symmetry_space_group_name_Hall '-P 2ybc'
_cell_length_a 6.326
_cell_length_b 5.285
_cell_length_c 7.591
_cell_angle_alpha 90.00
_cell_angle_beta 112.07
_cell_angle_gamma 90.00
loop_
_atom_site_label
_atom_site_type_symbol
_atom_site_fract_x
_atom_site_fract_y
_atom_site_fract_z
Ce1 Ce 0.188 0.106 0.374
Ni1 Ni 0.163 0.626 0.512
Au1 Au 0.414 0.585 0.296



# NbAgF2 (PBE, relaxed)
# * ΔE to the lowest computed polymorph: 984 meV per atom
# * formation energy without anion corrections: -2.16 eV/f.u.
# * size of the total moment: 8.14 Bohr magnetons per cell
# * V: 14.170 A^3/atom
# * DOS at the Fermi energy: 10.55 states/eV/cell
data_NbAgF2
_symmetry_space_group_name_H-M 'F m -3 m'
_symmetry_Int_Tables_number 225
_symmetry_space_group_name_Hall '-F 4 2 3'
_cell_length_a 6.098
_cell_length_b 6.098
_cell_length_c 6.098
_cell_angle_alpha 90.00
_cell_angle_beta 90.00
_cell_angle_gamma 90.00
loop_
_atom_site_label
_atom_site_type_symbol
_atom_site_fract_x
_atom_site_fract_y
_atom_site_fract_z
Nb1 Nb 0.000 0.000 0.000
Ag1 Ag 0.000 0.000 0.500
F1 F 0.250 0.250 0.250



# AcHoAg4 (PBE, relaxed)
# * ΔE to the lowest computed polymorph: 100 meV per atom
# * ΔH_f (0 K): -3.3 kcal/mol of atoms
# * size of the total moment: 0.00 Bohr magnetons per cell
# * V: 23.605 A^3/atom
# * DOS at the Fermi energy: 19.92 states/eV/cell
data_AcHoAg4
_symmetry_space_group_name_H-M 'F -4 3 m'
_symmetry_Int_Tables_number 216
_symmetry_space_group_name_Hall 'F -4 2 3'
_cell_length_a 8.274
_cell_length_b 8.274
_cell_length_c 8.274
_cell_angle_alpha 90.00
_cell_angle_beta 90.00
_cell_angle_gamma 90.00
loop_
_atom_site_label
_atom_site_type_symbol
_atom_site_fract_x
_atom_site_fract_y
_atom_site_fract_z
Ac1 Ac 0.000 0.000 0.000
Ho1 Ho 0.250 0.250 0.250
Ag1 Ag 0.124 0.124 0.624



# Re3HgS (PBE, relaxed)
# * ΔE to the lowest computed polymorph: 2502 meV per atom
# * formation energy without anion corrections: 18.01 eV/f.u.
# * size of the total moment: 6.05 Bohr magnetons per cell
# * V: 24.595 A^3/atom
# * DOS at the Fermi energy: 8.79 states/eV/cell
data_Re3HgS
_symmetry_space_group_name_H-M 'P m -3 m'
_symmetry_Int_Tables_number 221
_symmetry_space_group_name_Hall '-P 4 2 3'
_cell_length_a 4.973
_cell_length_b 4.973
_cell_length_c 4.973
_cell_angle_alpha 90.00
_cell_angle_beta 90.00
_cell_angle_gamma 90.00
loop_
_atom_site_label
_atom_site_type_symbol
_atom_site_fract_x
_atom_site_fract_y
_atom_site_fract_z
Re1 Re 0.000 0.000 0.500
Hg1 Hg 0.000 0.000 0.000
S1 S 0.500 0.500 0.500